Entry from the Open Quantum Materials Database: an optimized crystal structure of AlAsIrO (PBE-GGA).

Properties
Offset from the most stable computed form ... 4.96 eV per formula unit
Size of the total moment ... 0.00 μB/atom
Space group ... No. 129
Mass density ... 8.42 g/cm3

a b c (Å): 4.211 4.211 6.897
angles (deg): 90.00 90.00 90.00
Fractional coordinates of all 8 atoms:
Al (0.750, 0.250, 0.500)
Al (0.250, 0.750, 0.500)
As (0.750, 0.750, 0.300)
As (0.250, 0.250, 0.700)
Ir (0.250, 0.250, 0.064)
Ir (0.750, 0.750, 0.936)
O (0.750, 0.250, 0.000)
O (0.250, 0.750, 0.000)



Entry from the Open Quantum Materials Database: an optimized crystal structure of TmTlPt (PBE-GGA).

Properties
E ... -4.47 eV/atom
Size of the total moment ... 0.07 μB/atom
Space group ... No. 216
Mass density ... 12.71 g/cm3

a b c (Å): 4.718 4.718 4.718
angles (deg): 60.00 60.00 60.00
Fractional coordinates of all 3 atoms:
Pt (0.250, 0.250, 0.250)
Tl (0.000, 0.000, 0.000)
Tm (0.750, 0.750, 0.750)